DFT (PBE-GGA) results for a geometry-optimized ThZnHg2 structure.

It has space group Pmmn (No. 59, origin choice 2), with a = 4.696 Å, b = 6.450 Å, c = 6.277 Å, α = 90.00°, β = 90.00° and γ = 90.00°. Symmetry generates all atoms from Th at (0.250, 0.250, 0.102), Zn at (0.250, 0.750, 0.244) and Hg at (0.250, 0.502, 0.651).

As for the calculated density: 12.2 g/cm³. For the density of states at the Fermi level, the calculation gives 3.33 states/eV/f.u. For the formation energy, the calculation gives -0.197 eV/atom.